GaCl PBE relaxed; space-group type = Pmn2_1 (31); energy relative to the elements, uncorrected = -63.7 kJ per mole of atoms; VASP energy = -3.096 eV/atom
1.0
10.5398 0.0000 0.0000
0.0000 5.7826 0.0000
0.0000 0.0000 6.4511
Ga Cl
6 6
direct
0.0000 0.0981 0.0000
0.2409 0.1933 0.5503
0.2591 0.8067 0.0503
0.5000 0.9019 0.5000
0.7409 0.8067 0.0503
0.7591 0.1933 0.5503
0.0000 0.2250 0.3856
0.1760 0.4270 0.8891
0.3240 0.5730 0.3891
0.5000 0.7750 0.8856
0.6760 0.5730 0.3891
0.8240 0.4270 0.8891

---

Ga3Cl PBE relaxed; space-group type = Pmm2 (25); energy relative to the elements, uncorrected = -11.5 kJ per mole of atoms; VASP energy = -2.851 eV/atom
1.0
3.3903 0.0000 0.0000
0.0000 3.4410 0.0000
0.0000 0.0000 7.9044
Ga Cl
3 1
direct
0.0000 0.0000 0.0000
0.0000 0.5000 0.2901
0.5000 0.5000 0.8170
0.5000 0.0000 0.4881

---

GaCl PBE relaxed; space-group type = F-43m (216); energy relative to the elements, uncorrected = -58.3 kJ per mole of atoms; VASP energy = -3.041 eV/atom
1.0
0.0000 3.3716 3.3716
3.3716 0.0000 3.3716
3.3716 3.3716 0.0000
Ga Cl
1 1
direct
0.0000 0.0000 0.0000
0.2500 0.2500 0.2500

---

Ga2Cl PBE relaxed; space-group type = Fd-3m (227); energy relative to the elements, uncorrected = -16.9 kJ per mole of atoms; VASP energy = -2.808 eV/atom
1.0
0.0000 4.0883 4.0883
4.0883 0.0000 4.0883
4.0883 4.0883 0.0000
Ga Cl
4 2
direct
0.0000 0.0000 0.0000
0.0000 0.0000 0.5000
0.0000 0.5000 0.0000
0.5000 0.0000 0.0000
0.3750 0.3750 0.3750
0.6250 0.6250 0.6250

---

GaCl3 PBE relaxed; space-group type = I-42d (122); energy relative to the elements, uncorrected = -62.1 kJ per mole of atoms; VASP energy = -2.786 eV/atom
1.0
-4.3752 4.3752 2.4714
4.3752 -4.3752 2.4714
4.3752 4.3752 -2.4714
Ga Cl
2 6
direct
0.0000 0.0000 0.0000
0.7500 0.2500 0.5000
0.2500 0.7500 0.5000
0.3750 0.2342 0.3592
0.5000 0.5000 0.0000
0.7658 0.1250 0.1408
0.8750 0.0158 0.6408
0.9842 0.6250 0.8592

---

GaCl2 PBE relaxed; space-group type = Pnna (52); energy relative to the elements, uncorrected = -98.7 kJ per mole of atoms; VASP energy = -3.263 eV/atom
1.0
7.3535 0.0000 0.0000
0.0000 10.0298 0.0000
0.0000 0.0000 9.9347
Ga Cl
8 16
direct
0.1258 0.2500 0.2500
0.2500 0.0000 0.6857
0.2500 0.5000 0.8143
0.3742 0.7500 0.2500
0.6258 0.2500 0.7500
0.7500 0.0000 0.3143
0.7500 0.5000 0.1857
0.8742 0.7500 0.7500
0.0062 0.0318 0.8108
0.0062 0.4682 0.6892
0.1813 0.6764 0.9382
0.1813 0.8236 0.5618
0.3187 0.1764 0.5618
0.3187 0.3236 0.9382
0.4938 0.5318 0.6892
0.4938 0.9682 0.8108
0.5062 0.0318 0.1892
0.5062 0.4682 0.3108
0.6813 0.6764 0.0618
0.6813 0.8236 0.4382
0.8187 0.1764 0.4382
0.8187 0.3236 0.0618
0.9938 0.5318 0.3108
0.9938 0.9682 0.1892